1.
## AcCuClO2 (PBE)

Data for a relaxed AcCuClO2 crystal.

```
AcCuClO2
1.0
5.578 0.000 0.000
0.000 5.592 0.000
0.000 -2.796 6.345
Cu O Ac Cl
2 4 2 2
Direct
0.750 0.015 0.029 Cu
0.250 0.985 0.971 Cu
0.500 0.243 0.000 O
0.500 0.757 0.000 O
0.000 0.243 0.000 O
0.000 0.757 0.000 O
0.250 0.613 0.226 Ac
0.750 0.387 0.774 Ac
0.750 0.748 0.497 Cl
0.250 0.252 0.503 Cl
```

## Properties
electronic total energy = -60.4 eV per cell
ΔE_f (raw) = -2047 meV per atom

***

2.
## SmPd4Au6 (PBE)

Data for a relaxed SmPd4Au6 crystal.

```
SmPd4Au6
1.0
6.999 -0.376 -0.553
-3.570 6.032 0.553
-3.570 -1.703 5.813
Pd Au Sm
4 6 1
Direct
0.000 0.097 0.588 Pd
0.509 0.412 0.412 Pd
0.000 0.588 0.097 Pd
0.491 0.903 0.903 Pd
0.500 0.500 0.000 Au
0.500 0.000 0.500 Au
0.000 0.449 0.764 Au
0.685 0.236 0.236 Au
0.000 0.764 0.449 Au
0.315 0.551 0.551 Au
0.000 0.000 0.000 Sm
```

## Properties
electronic total energy = -45.8 eV per cell

***

3.
## Pm2SmDyEr (PBE)

Data for a relaxed Pm2SmDyEr crystal.

```
Pm2SmDyEr
1.0
-3.424 6.260 1.279
-4.697 -1.163 -6.880
-1.602 -2.227 6.611
Er Pm Dy Sm
2 4 2 2
Direct
0.750 0.733 0.465 Er
0.250 0.267 0.535 Er
0.000 0.308 0.000 Pm
0.500 0.692 0.000 Pm
0.000 0.692 0.000 Pm
0.500 0.308 0.000 Pm
0.750 0.011 0.022 Dy
0.250 0.989 0.978 Dy
0.250 0.723 0.446 Sm
0.750 0.277 0.554 Sm
```

## Properties
electronic total energy = -42.7 eV per cell

***

4.
## Mn2GaBSe (PBE)

Data for a relaxed Mn2GaBSe crystal.

```
Mn2GaBSe
1.0
2.799 0.000 0.000
0.000 2.812 0.000
0.024 0.684 9.132
Mn Ga Se B
2 1 1 1
Direct
0.460 0.101 0.798 Mn
0.962 0.648 0.608 Mn
0.958 0.036 0.059 Ga
0.463 0.184 0.457 Se
0.959 0.588 0.850 B
```

## Properties
electronic total energy = -31.4 eV per cell
ΔE_f (raw) = 33 meV per atom

***

5.
## Sr6Pt2Au (PBE)

Data for a relaxed Sr6Pt2Au crystal.

```
Sr6Pt2Au
1.0
-6.791 1.903 1.173
-0.384 2.921 -6.963
-1.828 -7.243 1.167
Sr Pt Au
6 2 1
Direct
0.738 0.340 0.000 Sr
0.262 0.340 0.340 Sr
0.262 0.000 0.660 Sr
0.738 0.000 0.340 Sr
0.262 0.660 0.000 Sr
0.738 0.660 0.660 Sr
0.500 0.667 0.333 Pt
0.500 0.333 0.667 Pt
0.000 0.000 0.000 Au
```

## Properties
electronic total energy = -31.2 eV per cell

***

6.
## La5ErCo3 (PBE)

Data for a relaxed La5ErCo3 crystal.

```
La5ErCo3
1.0
7.154 0.398 2.938
-3.916 8.213 5.252
0.420 1.730 10.354
La Co Er
10 6 2
Direct
0.341 0.640 0.686 La
0.000 0.304 0.696 La
0.000 0.696 0.304 La
0.913 0.103 0.190 La
0.243 0.437 0.193 La
0.341 0.027 0.299 La
0.087 0.897 0.810 La
0.659 0.360 0.314 La
0.659 0.973 0.701 La
0.757 0.563 0.807 La
0.173 0.668 0.495 Co
0.662 0.665 0.004 Co
0.827 0.332 0.505 Co
0.338 0.335 0.996 Co
0.500 0.000 0.500 Co
0.000 0.000 0.000 Co
0.571 0.768 0.197 Er
0.429 0.232 0.803 Er
```

## Properties
electronic total energy = -103.0 eV per cell

***

7.
## Er3CrC3 (PBE)

Data for a relaxed Er3CrC3 crystal.

```
Er3CrC3
1.0
5.042 0.000 0.000
0.000 6.629 -0.765
0.000 -0.495 6.654
C Er Cr
6 6 2
Direct
0.250 0.426 0.176 C
0.250 0.824 0.574 C
0.750 0.574 0.824 C
0.750 0.176 0.426 C
0.750 0.124 0.876 C
0.250 0.876 0.124 C
0.750 0.406 0.169 Er
0.250 0.110 0.890 Er
0.750 0.831 0.594 Er
0.250 0.594 0.831 Er
0.750 0.890 0.110 Er
0.250 0.169 0.406 Er
0.750 0.304 0.696 Cr
0.250 0.696 0.304 Cr
```

## Properties
electronic total energy = -106.9 eV per cell

***

8.
## LaScSi (PBE)

Data for a relaxed LaScSi crystal.

```
LaScSi
1.0
-1.974 3.640 -2.029
-1.764 -1.700 3.906
2.486 2.607 2.257
Si Sc La
1 1 1
Direct
0.333 0.667 0.500 Si
0.667 0.333 0.500 Sc
0.000 0.000 0.000 La
```

## Properties
electronic total energy = -18.0 eV per cell
ΔE_f (raw) = -449 meV per atom

***

9.
## Ba3In2Ir (PBE)

Data for a relaxed Ba3In2Ir crystal.

```
Ba3In2Ir
1.0
-3.709 -7.044 1.921
2.548 1.543 7.628
-5.834 1.919 3.508
Ir Ba In
2 6 4
Direct
0.297 0.703 0.750 Ir
0.703 0.297 0.250 Ir
0.942 0.709 0.061 Ba
0.709 0.942 0.561 Ba
0.576 0.424 0.750 Ba
0.058 0.291 0.939 Ba
0.424 0.576 0.250 Ba
0.291 0.058 0.439 Ba
0.340 0.952 0.946 In
0.952 0.340 0.446 In
0.660 0.048 0.054 In
0.048 0.660 0.554 In
```

## Properties
electronic total energy = -43.5 eV per cell

***

10.
## MnNb2Re (PBE)

Data for a relaxed MnNb2Re crystal.

```
MnNb2Re
1.0
-5.170 1.844 -1.843
1.950 -1.806 5.144
5.344 1.024 1.980
Nb Mn Re
2 1 1
Direct
0.000 0.756 0.756 Nb
0.000 0.244 0.244 Nb
0.000 0.000 0.000 Mn
0.000 0.500 0.500 Re
```

## Properties
electronic total energy = -38.8 eV per cell

***

11.
## Mg4CrHg (PBE)

Data for a relaxed Mg4CrHg crystal.

```
Mg4CrHg
1.0
0.000 4.037 4.037
4.037 0.000 4.037
4.037 4.037 0.000
Hg Mg Cr
1 4 1
Direct
0.000 0.000 0.000 Hg
0.375 0.875 0.375 Mg
0.875 0.375 0.375 Mg
0.375 0.375 0.875 Mg
0.375 0.375 0.375 Mg
0.750 0.750 0.750 Cr
```

## Properties
electronic total energy = -14.5 eV per cell

***

12.
## Ho2Co2Tc (PBE)

Data for a relaxed Ho2Co2Tc crystal.

```
Ho2Co2Tc
1.0
5.267 0.085 0.885
2.389 4.695 0.885
0.114 0.071 7.438
Co Ho Tc
4 4 2
Direct
0.995 0.745 0.003 Co
0.255 0.005 0.497 Co
0.745 0.995 0.503 Co
0.005 0.255 0.997 Co
0.527 0.773 0.848 Ho
0.227 0.473 0.652 Ho
0.773 0.527 0.348 Ho
0.473 0.227 0.152 Ho
0.120 0.880 0.250 Tc
0.880 0.120 0.750 Tc
```

## Properties
electronic total energy = -69.3 eV per cell